# 1
! Hf2TiCdH (PBE, optimized geometry); values from VASP
&SYSTEM
  ibrav = 0, nat = 5, ntyp = 4
/
ATOMIC_SPECIES
Hf 178.49 Hf.upf
Ti 47.87 Ti.upf
Cd 112.41 Cd.upf
H 1.01 H.upf
CELL_PARAMETERS angstrom
4.315 0.000 0.000
0.000 4.315 0.000
0.000 0.000 4.478
ATOMIC_POSITIONS crystal
Hf 0.000 0.500 0.000
Hf 0.500 0.000 0.000
Ti 0.000 0.000 0.500
Cd 0.500 0.500 0.500
H 0.500 0.500 0.000
! SG: P4/mmm (123)
! DFT total energy: -6.4150 eV/atom
! relative energy among the computed polymorphs: 139 meV per atom

---

# 2
! Hf2TiCdH (PBE, optimized geometry); values from VASP
&SYSTEM
  ibrav = 0, nat = 5, ntyp = 4
/
ATOMIC_SPECIES
Hf 178.49 Hf.upf
Ti 47.87 Ti.upf
Cd 112.41 Cd.upf
H 1.01 H.upf
CELL_PARAMETERS angstrom
4.382 0.000 0.000
0.000 4.382 0.000
0.000 0.000 4.272
ATOMIC_POSITIONS crystal
Hf 0.000 0.500 0.000
Hf 0.500 0.000 0.000
Ti 0.000 0.000 0.500
Cd 0.500 0.500 0.500
H 0.000 0.000 0.000
! SG: P4/mmm (123)
! DFT total energy: -6.5542 eV/atom
! relative energy among the computed polymorphs: 0 meV per atom

---

# 3
! Hf2ZrCdH (PBE, optimized geometry); values from VASP
&SYSTEM
  ibrav = 0, nat = 5, ntyp = 4
/
ATOMIC_SPECIES
Hf 178.49 Hf.upf
Zr 91.22 Zr.upf
Cd 112.41 Cd.upf
H 1.01 H.upf
CELL_PARAMETERS angstrom
4.379 0.000 0.000
0.000 4.379 0.000
0.000 0.000 4.638
ATOMIC_POSITIONS crystal
Hf 0.000 0.500 0.000
Hf 0.500 0.000 0.000
Zr 0.000 0.000 0.500
Cd 0.500 0.500 0.500
H 0.500 0.500 0.000
! SG: P4/mmm (123)
! DFT total energy: -6.6031 eV/atom
! relative energy among the computed polymorphs: 119 meV per atom

---

# 4
! HfZr2CdH (PBE, optimized geometry); values from VASP
&SYSTEM
  ibrav = 0, nat = 5, ntyp = 4
/
ATOMIC_SPECIES
Hf 178.49 Hf.upf
Zr 91.22 Zr.upf
Cd 112.41 Cd.upf
H 1.01 H.upf
CELL_PARAMETERS angstrom
4.411 0.000 0.000
0.000 4.411 0.000
0.000 0.000 4.610
ATOMIC_POSITIONS crystal
Hf 0.000 0.000 0.000
Zr 0.000 0.500 0.500
Zr 0.500 0.000 0.500
Cd 0.500 0.500 0.000
H 0.500 0.500 0.500
! SG: P4/mmm (123)
! DFT total energy: -6.3462 eV/atom
! relative energy among the computed polymorphs: 125 meV per atom

---

# 5
! Hf2ZrCdH (PBE, optimized geometry); values from VASP
&SYSTEM
  ibrav = 0, nat = 5, ntyp = 4
/
ATOMIC_SPECIES
Hf 178.49 Hf.upf
Zr 91.22 Zr.upf
Cd 112.41 Cd.upf
H 1.01 H.upf
CELL_PARAMETERS angstrom
4.440 0.000 0.000
0.000 4.440 0.000
0.000 0.000 4.462
ATOMIC_POSITIONS crystal
Hf 0.000 0.500 0.000
Hf 0.500 0.000 0.000
Zr 0.000 0.000 0.500
Cd 0.500 0.500 0.500
H 0.000 0.000 0.000
! SG: P4/mmm (123)
! DFT total energy: -6.7221 eV/atom
! relative energy among the computed polymorphs: 0 meV per atom

---

# 6
! HfZr2CdH (PBE, optimized geometry); values from VASP
&SYSTEM
  ibrav = 0, nat = 5, ntyp = 4
/
ATOMIC_SPECIES
Hf 178.49 Hf.upf
Zr 91.22 Zr.upf
Cd 112.41 Cd.upf
H 1.01 H.upf
CELL_PARAMETERS angstrom
4.473 0.000 0.000
0.000 4.473 0.000
0.000 0.000 4.451
ATOMIC_POSITIONS crystal
Hf 0.000 0.000 0.000
Zr 0.000 0.500 0.500
Zr 0.500 0.000 0.500
Cd 0.500 0.500 0.000
H 0.000 0.000 0.500
! SG: P4/mmm (123)
! DFT total energy: -6.4715 eV/atom
! relative energy among the computed polymorphs: 0 meV per atom

---

# 7
! Cd3Hg2H (PBE, optimized geometry); values from VASP
&SYSTEM
  ibrav = 0, nat = 12, ntyp = 3
/
ATOMIC_SPECIES
Cd 112.41 Cd.upf
Hg 200.59 Hg.upf
H 1.01 H.upf
CELL_PARAMETERS angstrom
5.561 0.000 0.000
2.620 5.015 0.000
2.591 -0.544 9.633
ATOMIC_POSITIONS crystal
Cd 0.186 0.065 0.066
Cd 0.236 0.796 0.391
Cd 0.295 0.276 0.487
Cd 0.705 0.724 0.513
Cd 0.764 0.204 0.609
Cd 0.814 0.935 0.934
Hg 0.163 0.347 0.803
Hg 0.494 0.351 0.163
Hg 0.506 0.649 0.837
Hg 0.837 0.653 0.197
H 0.087 0.043 0.258
H 0.913 0.957 0.742
! SG: P-1 (2)
! DFT total energy: -0.9893 eV/atom

---

# 8
! CdHgH4 (PBE, optimized geometry); values from VASP
&SYSTEM
  ibrav = 0, nat = 12, ntyp = 3
/
ATOMIC_SPECIES
Cd 112.41 Cd.upf
Hg 200.59 Hg.upf
H 1.01 H.upf
CELL_PARAMETERS angstrom
3.657 -6.499 0.000
3.657 6.499 0.000
-3.245 0.000 3.843
ATOMIC_POSITIONS crystal
Cd 0.071 0.929 0.750
Cd 0.929 0.071 0.250
Hg 0.334 0.666 0.250
Hg 0.666 0.334 0.750
H 0.116 0.267 0.706
H 0.143 0.483 0.336
H 0.267 0.116 0.206
H 0.483 0.143 0.836
H 0.517 0.857 0.164
H 0.733 0.884 0.794
H 0.857 0.517 0.664
H 0.884 0.733 0.294
! SG: C2/c (15)
! DFT total energy: -2.1225 eV/atom

---

# 9
! Cd3Hg12H5 (PBE, optimized geometry); values from VASP
&SYSTEM
  ibrav = 0, nat = 80, ntyp = 3
/
ATOMIC_SPECIES
Cd 112.41 Cd.upf
Hg 200.59 Hg.upf
H 1.01 H.upf
CELL_PARAMETERS angstrom
-7.528 7.528 7.528
7.528 -7.528 7.528
7.528 7.528 -7.528
ATOMIC_POSITIONS crystal
Cd 0.125 0.250 0.375
Cd 0.125 0.375 0.750
Cd 0.250 0.375 0.125
Cd 0.250 0.875 0.625
Cd 0.375 0.125 0.250
Cd 0.375 0.750 0.125
Cd 0.625 0.250 0.875
Cd 0.625 0.875 0.750
Cd 0.750 0.125 0.375
Cd 0.750 0.625 0.875
Cd 0.875 0.625 0.250
Cd 0.875 0.750 0.625
Hg 0.015 0.202 0.103
Hg 0.015 0.312 0.911
Hg 0.089 0.603 0.401
Hg 0.089 0.985 0.688
Hg 0.099 0.702 0.688
Hg 0.099 0.897 0.411
Hg 0.103 0.015 0.202
Hg 0.103 0.589 0.901
Hg 0.188 0.202 0.599
Hg 0.188 0.485 0.589
Hg 0.202 0.103 0.015
Hg 0.202 0.599 0.188
Hg 0.298 0.312 0.901
Hg 0.298 0.485 0.397
Hg 0.312 0.901 0.298
Hg 0.312 0.911 0.015
Hg 0.397 0.298 0.485
Hg 0.397 0.599 0.911
Hg 0.401 0.089 0.603
Hg 0.401 0.812 0.798
Hg 0.411 0.099 0.897
Hg 0.411 0.812 0.515
Hg 0.485 0.397 0.298
Hg 0.485 0.589 0.188
Hg 0.515 0.411 0.812
Hg 0.515 0.603 0.702
Hg 0.589 0.188 0.485
Hg 0.589 0.901 0.103
Hg 0.599 0.188 0.202
Hg 0.599 0.911 0.397
Hg 0.603 0.401 0.089
Hg 0.603 0.702 0.515
Hg 0.688 0.089 0.985
Hg 0.688 0.099 0.702
Hg 0.702 0.515 0.603
Hg 0.702 0.688 0.099
Hg 0.798 0.401 0.812
Hg 0.798 0.897 0.985
Hg 0.812 0.515 0.411
Hg 0.812 0.798 0.401
Hg 0.897 0.411 0.099
Hg 0.897 0.985 0.798
Hg 0.901 0.103 0.589
Hg 0.901 0.298 0.312
Hg 0.911 0.015 0.312
Hg 0.911 0.397 0.599
Hg 0.985 0.688 0.089
Hg 0.985 0.798 0.897
H 0.000 0.000 0.000
H 0.000 0.000 0.500
H 0.000 0.500 0.000
H 0.000 0.500 0.500
H 0.125 0.750 0.875
H 0.125 0.875 0.250
H 0.250 0.125 0.875
H 0.250 0.625 0.375
H 0.375 0.250 0.625
H 0.375 0.625 0.750
H 0.500 0.000 0.000
H 0.500 0.000 0.500
H 0.500 0.500 0.000
H 0.500 0.500 0.500
H 0.625 0.375 0.250
H 0.625 0.750 0.375
H 0.750 0.375 0.625
H 0.750 0.875 0.125
H 0.875 0.125 0.750
H 0.875 0.250 0.125
! SG: Ia-3d (230)
! DFT total energy: -0.8411 eV/atom

---

# 10
! CdHg4H2 (PBE, optimized geometry); values from VASP
&SYSTEM
  ibrav = 0, nat = 7, ntyp = 3
/
ATOMIC_SPECIES
Cd 112.41 Cd.upf
Hg 200.59 Hg.upf
H 1.01 H.upf
CELL_PARAMETERS angstrom
6.131 0.000 0.000
0.000 3.252 0.000
-0.022 0.000 7.548
ATOMIC_POSITIONS crystal
Cd 0.000 0.000 0.000
Hg 0.193 0.000 0.624
Hg 0.411 0.500 0.165
Hg 0.589 0.500 0.835
Hg 0.807 0.000 0.376
H 0.308 0.500 0.379
H 0.692 0.500 0.621
! SG: P2/m (10)
! DFT total energy: -1.0125 eV/atom

---

# 11
! Cd3HgH (PBE, optimized geometry); values from VASP
&SYSTEM
  ibrav = 0, nat = 10, ntyp = 3
/
ATOMIC_SPECIES
Cd 112.41 Cd.upf
Hg 200.59 Hg.upf
H 1.01 H.upf
CELL_PARAMETERS angstrom
5.756 -2.739 0.000
5.756 2.739 0.000
-0.018 0.000 6.677
ATOMIC_POSITIONS crystal
Cd 0.123 0.123 0.499
Cd 0.342 0.342 0.264
Cd 0.342 0.342 0.737
Cd 0.658 0.658 0.263
Cd 0.658 0.658 0.736
Cd 0.877 0.877 0.501
Hg 0.126 0.126 0.999
Hg 0.874 0.874 0.001
H 0.500 0.500 0.192
H 0.500 0.500 0.808
! SG: C2/m (12)
! DFT total energy: -1.1192 eV/atom
! relative energy among the computed polymorphs: 0 meV per atom

---

# 12
! Cd2HgH2 (PBE, optimized geometry); values from VASP
&SYSTEM
  ibrav = 0, nat = 10, ntyp = 3
/
ATOMIC_SPECIES
Cd 112.41 Cd.upf
Hg 200.59 Hg.upf
H 1.01 H.upf
CELL_PARAMETERS angstrom
7.516 0.000 0.000
0.000 7.516 0.000
0.000 0.000 2.853
ATOMIC_POSITIONS crystal
Cd 0.143 0.357 0.000
Cd 0.357 0.857 0.000
Cd 0.643 0.143 0.000
Cd 0.857 0.643 0.000
Hg 0.000 0.000 0.500
Hg 0.500 0.500 0.500
H 0.118 0.618 0.500
H 0.382 0.118 0.500
H 0.618 0.882 0.500
H 0.882 0.382 0.500
! SG: P4/mbm (127)
! DFT total energy: -1.2478 eV/atom
! relative energy among the computed polymorphs: 373 meV per atom

---

# 13
! Cd3Hg5H2 (PBE, optimized geometry); values from VASP
&SYSTEM
  ibrav = 0, nat = 20, ntyp = 3
/
ATOMIC_SPECIES
Cd 112.41 Cd.upf
Hg 200.59 Hg.upf
H 1.01 H.upf
CELL_PARAMETERS angstrom
5.966 0.000 0.000
-2.268 9.133 0.000
-1.913 -3.890 9.090
ATOMIC_POSITIONS crystal
Cd 0.156 0.104 0.456
Cd 0.184 0.725 0.417
Cd 0.300 0.138 0.810
Cd 0.700 0.862 0.190
Cd 0.816 0.275 0.583
Cd 0.844 0.896 0.544
Hg 0.092 0.128 0.157
Hg 0.124 0.449 0.156
Hg 0.184 0.808 0.154
Hg 0.357 0.480 0.841
Hg 0.399 0.823 0.853
Hg 0.601 0.177 0.147
Hg 0.643 0.520 0.159
Hg 0.816 0.192 0.846
Hg 0.876 0.551 0.844
Hg 0.908 0.872 0.843
H 0.051 0.295 0.488
H 0.487 0.195 0.484
H 0.513 0.805 0.516
H 0.949 0.705 0.512
! SG: P-1 (2)
! DFT total energy: -0.9485 eV/atom

---

# 14
! Cd2HgH6 (PBE, optimized geometry); values from VASP
&SYSTEM
  ibrav = 0, nat = 9, ntyp = 3
/
ATOMIC_SPECIES
Cd 112.41 Cd.upf
Hg 200.59 Hg.upf
H 1.01 H.upf
CELL_PARAMETERS angstrom
3.086 -12.326 0.000
3.086 12.326 0.000
-1.581 0.000 2.729
ATOMIC_POSITIONS crystal
Cd 0.112 0.888 0.000
Cd 0.888 0.112 0.000
Hg 0.500 0.500 0.500
H 0.004 0.478 0.550
H 0.048 0.048 0.636
H 0.478 0.004 0.550
H 0.522 0.996 0.450
H 0.952 0.952 0.364
H 0.996 0.522 0.450
! SG: C2/m (12)
! DFT total energy: -2.3386 eV/atom

---

# 15
! Cd4Hg2H (PBE, optimized geometry); values from VASP
&SYSTEM
  ibrav = 0, nat = 7, ntyp = 3
/
ATOMIC_SPECIES
Cd 112.41 Cd.upf
Hg 200.59 Hg.upf
H 1.01 H.upf
CELL_PARAMETERS angstrom
-2.171 2.171 8.051
2.171 -2.171 8.051
2.171 2.171 -8.051
ATOMIC_POSITIONS crystal
Cd 0.000 0.500 0.500
Cd 0.177 0.177 0.000
Cd 0.500 0.000 0.500
Cd 0.823 0.823 0.000
Hg 0.358 0.358 0.000
Hg 0.642 0.642 0.000
H 0.000 0.000 0.000
! SG: I4/mmm (139)
! DFT total energy: -0.9320 eV/atom
! relative energy among the computed polymorphs: 52 meV per atom

---

# 16
! CdHg3H (PBE, optimized geometry); values from VASP
&SYSTEM
  ibrav = 0, nat = 5, ntyp = 3
/
ATOMIC_SPECIES
Cd 112.41 Cd.upf
Hg 200.59 Hg.upf
H 1.01 H.upf
CELL_PARAMETERS angstrom
5.835 0.000 0.000
0.000 5.835 0.000
0.000 0.000 5.835
ATOMIC_POSITIONS crystal
Cd 0.000 0.000 0.000
Hg 0.000 0.000 0.500
Hg 0.000 0.500 0.000
Hg 0.500 0.000 0.000
H 0.500 0.500 0.500
! SG: Pm-3m (221)
! DFT total energy: -0.5059 eV/atom
! relative energy among the computed polymorphs: 467 meV per atom

---

# 17
! Cd2Hg2H (PBE, optimized geometry); values from VASP
&SYSTEM
  ibrav = 0, nat = 5, ntyp = 3
/
ATOMIC_SPECIES
Cd 112.41 Cd.upf
Hg 200.59 Hg.upf
H 1.01 H.upf
CELL_PARAMETERS angstrom
-2.053 2.053 7.497
2.053 -2.053 7.497
2.053 2.053 -7.497
ATOMIC_POSITIONS crystal
Cd 0.250 0.750 0.500
Cd 0.750 0.250 0.500
Hg 0.092 0.092 0.000
Hg 0.908 0.908 0.000
H 0.500 0.500 0.000
! SG: I4/mmm (139)
! DFT total energy: -0.6731 eV/atom
! relative energy among the computed polymorphs: 294 meV per atom

---

# 18
! CdHg8H6 (PBE, optimized geometry); values from VASP
&SYSTEM
  ibrav = 0, nat = 15, ntyp = 3
/
ATOMIC_SPECIES
Cd 112.41 Cd.upf
Hg 200.59 Hg.upf
H 1.01 H.upf
CELL_PARAMETERS angstrom
5.741 0.000 0.000
1.459 7.454 0.000
2.092 2.424 7.566
ATOMIC_POSITIONS crystal
Cd 0.000 0.000 0.000
Hg 0.211 0.800 0.603
Hg 0.227 0.526 0.193
Hg 0.303 0.061 0.179
Hg 0.327 0.309 0.700
Hg 0.673 0.691 0.300
Hg 0.697 0.939 0.821
Hg 0.773 0.474 0.807
Hg 0.789 0.200 0.397
H 0.227 0.596 0.976
H 0.232 0.457 0.409
H 0.495 0.137 0.271
H 0.505 0.863 0.729
H 0.768 0.543 0.591
H 0.773 0.404 0.024
! SG: P-1 (2)
! DFT total energy: -1.3107 eV/atom

---

# 19
! Cd3Hg2H2 (PBE, optimized geometry); values from VASP
&SYSTEM
  ibrav = 0, nat = 7, ntyp = 3
/
ATOMIC_SPECIES
Cd 112.41 Cd.upf
Hg 200.59 Hg.upf
H 1.01 H.upf
CELL_PARAMETERS angstrom
3.070 0.000 0.000
1.241 6.511 0.000
1.117 0.278 7.272
ATOMIC_POSITIONS crystal
Cd 0.000 0.000 0.000
Cd 0.286 0.128 0.326
Cd 0.714 0.872 0.674
Hg 0.112 0.583 0.209
Hg 0.888 0.417 0.791
H 0.322 0.826 0.495
H 0.678 0.174 0.505
! SG: P-1 (2)
! DFT total energy: -1.2593 eV/atom

---

# 20
! Cd2HgH2 (PBE, optimized geometry); values from VASP
&SYSTEM
  ibrav = 0, nat = 5, ntyp = 3
/
ATOMIC_SPECIES
Cd 112.41 Cd.upf
Hg 200.59 Hg.upf
H 1.01 H.upf
CELL_PARAMETERS angstrom
-2.056 2.056 4.833
2.056 -2.056 4.833
2.056 2.056 -4.833
ATOMIC_POSITIONS crystal
Cd 0.152 0.152 0.000
Cd 0.848 0.848 0.000
Hg 0.500 0.500 0.000
H 0.250 0.750 0.500
H 0.750 0.250 0.500
! SG: I4/mmm (139)
! DFT total energy: -1.4428 eV/atom
! relative energy among the computed polymorphs: 178 meV per atom

---

| no. | theoretical density (kg/m³) |
| --- | --- |
| 1 | 10323 |
| 2 | 10492 |
| 3 | 10486 |
| 4 | 8781 |
| 5 | 10602 |
| 6 | 8845 |
| 7 | 9140 |
| 8 | 5763 |
| 9 | 10703 |
| 10 | 10116 |
| 11 | 8500 |
| 12 | 8809 |
| 13 | 9001 |
| 14 | 3452 |
| 15 | 9316 |
| 16 | 5979 |
| 17 | 8239 |
| 18 | 8838 |
| 19 | 8457 |
| 20 | 8683 |